This record from the Alexandria database describes a relaxed structure of MgTi2Ir2. The functional is GGA-PBE.

Geometry as POSCAR:
```
MgTi2Ir2
1.0
7.5861 0.0000 0.0000
0.0000 7.5861 0.0000
0.0000 0.0000 2.8784
Mg Ti Ir
2 4 4
Direct
0.0000 0.0000 0.0000
0.5000 0.5000 0.0000
0.1447 0.3553 0.0000
0.3553 0.8553 0.0000
0.6447 0.1447 0.0000
0.8553 0.6447 0.0000
0.1506 0.6506 0.5000
0.3494 0.1506 0.5000
0.6506 0.8494 0.5000
0.8494 0.3494 0.5000
```

Values from the calculation:
V	166	Å³/cell
space-group type	P4/mbm
raw total energy	-7.60	eV per atom
calculated formation energy	-0.58	eV/atom